1.
SrBr3 after structural relaxation, computed with PBE.

Unit cell a=5.735 b=5.735 c=5.735 alpha=110.89 beta=110.89 gamma=110.89
Element x y z (fractional)
Sr  0.000  0.000  0.000
Br  0.000  0.500  0.500
Br  0.500  0.000  0.500
Br  0.500  0.500  0.000

Summary:
Fermi-level density of states (states/eV per cell): 4.3
Symmetry: R-3m, No. 166
Energy relative to the elements, uncorrected (eV/atom): -1.201

---

2.
SrBr3 after structural relaxation, computed with PBE.

Unit cell a=3.849 b=3.849 c=9.358 alpha=90.00 beta=90.00 gamma=90.00
Element x y z (fractional)
Sr  0.000  0.000  0.000
Br  0.000  0.000  0.500
Br  0.500  0.500  0.182
Br  0.500  0.500  0.818

Summary:
Fermi-level density of states (states/eV per cell): 3.6
Symmetry: P4/mmm, No. 123
Energy relative to the elements, uncorrected (eV/atom): -1.213

---

3.
Sr4Br5 after structural relaxation, computed with PBE.

Unit cell a=9.007 b=9.007 c=8.858 alpha=90.00 beta=90.00 gamma=120.00
Element x y z (fractional)
Sr  0.000  0.000  0.000
Sr  0.000  0.000  0.500
Sr  0.000  0.416  0.250
Sr  0.000  0.584  0.750
Sr  0.416  0.000  0.250
Sr  0.416  0.416  0.750
Sr  0.584  0.000  0.750
Sr  0.584  0.584  0.250
Br  0.000  0.242  0.750
Br  0.000  0.758  0.250
Br  0.242  0.000  0.750
Br  0.242  0.242  0.250
Br  0.333  0.667  0.000
Br  0.333  0.667  0.500
Br  0.667  0.333  0.000
Br  0.667  0.333  0.500
Br  0.758  0.000  0.250
Br  0.758  0.758  0.750

Summary:
Fermi-level density of states (states/eV per cell): 14.9
Symmetry: P6_3/mcm, No. 193
Energy relative to the elements, uncorrected (eV/atom): -1.468

---

4.
Sr7Br after structural relaxation, computed with PBE.

Unit cell a=8.340 b=8.340 c=8.340 alpha=60.00 beta=60.00 gamma=60.00
Element x y z (fractional)
Sr  0.000  0.000  0.000
Sr  0.000  0.000  0.500
Sr  0.000  0.500  0.000
Sr  0.000  0.500  0.500
Sr  0.500  0.000  0.000
Sr  0.500  0.000  0.500
Sr  0.500  0.500  0.000
Br  0.500  0.500  0.500

Summary:
Fermi-level density of states (states/eV per cell): 7.3
Symmetry: Fm-3m, No. 225
Energy relative to the elements, uncorrected (eV/atom): -0.185

---

5.
Sr3Br after structural relaxation, computed with PBE.

Unit cell a=7.536 b=7.536 c=7.536 alpha=148.64 beta=67.13 gamma=122.33
Element x y z (fractional)
Sr  0.000  0.000  0.000
Sr  0.288  0.484  0.804
Sr  0.680  0.484  0.196
Br  0.632  0.132  0.500

Summary:
Fermi-level density of states (states/eV per cell): 3.5
Symmetry: Imm2, No. 44
Energy relative to the elements, uncorrected (eV/atom): -0.647

---

6.
Sr4Br3 after structural relaxation, computed with PBE.

Unit cell a=6.940 b=6.940 c=6.294 alpha=90.00 beta=90.00 gamma=120.00
Element x y z (fractional)
Sr  0.000  0.000  0.241
Sr  0.000  0.000  0.759
Sr  0.333  0.667  0.500
Sr  0.667  0.333  0.500
Br  0.000  0.500  0.000
Br  0.500  0.000  0.000
Br  0.500  0.500  0.000

Summary:
Fermi-level density of states (states/eV per cell): 4.3
Symmetry: P6/mmm, No. 191
Energy relative to the elements, uncorrected (eV/atom): -0.820

---

7.
SrBr2 after structural relaxation, computed with PBE.

Unit cell a=11.760 b=11.760 c=7.284 alpha=90.00 beta=90.00 gamma=90.00
Element x y z (fractional)
Sr  0.082  0.893  0.247
Sr  0.107  0.582  0.753
Sr  0.250  0.250  0.158
Sr  0.393  0.918  0.753
Sr  0.418  0.607  0.247
Sr  0.582  0.393  0.753
Sr  0.607  0.082  0.247
Sr  0.750  0.750  0.842
Sr  0.893  0.418  0.247
Sr  0.918  0.107  0.753
Br  0.042  0.147  0.380
Br  0.043  0.339  0.910
Br  0.147  0.458  0.380
Br  0.161  0.043  0.910
Br  0.250  0.750  0.000
Br  0.250  0.750  0.500
Br  0.339  0.457  0.910
Br  0.353  0.042  0.380
Br  0.457  0.161  0.910
Br  0.458  0.353  0.380
Br  0.542  0.647  0.620
Br  0.543  0.839  0.090
Br  0.647  0.958  0.620
Br  0.661  0.543  0.090
Br  0.750  0.250  0.000
Br  0.750  0.250  0.500
Br  0.839  0.957  0.090
Br  0.853  0.542  0.620
Br  0.957  0.661  0.090
Br  0.958  0.853  0.620

Summary:
Fermi-level density of states (states/eV per cell): 0.0
Symmetry: P4/n, No. 85
Energy relative to the elements, uncorrected (eV/atom): -2.113

---

8.
SrBr3 after structural relaxation, computed with PBE.

Unit cell a=6.539 b=6.539 c=6.539 alpha=139.24 beta=139.24 gamma=59.01
Element x y z (fractional)
Sr  0.000  0.000  0.000
Br  0.250  0.750  0.500
Br  0.500  0.500  0.000
Br  0.750  0.250  0.500

Summary:
Fermi-level density of states (states/eV per cell): 2.6
Symmetry: I4/mmm, No. 139
Energy relative to the elements, uncorrected (eV/atom): -1.277

---

Number 1: total magnetic moment 0.00 μB per cell. Number 2: total magnetic moment 1.03 μB per cell. Number 3: total magnetic moment 3.51 μB per cell. Number 4: total magnetic moment 0.00 μB per cell. Number 5: total magnetic moment 0.00 μB per cell. Number 6: total magnetic moment 0.00 μB per cell. Number 7: total magnetic moment 0.00 μB per cell. Number 8: total magnetic moment 0.00 μB per cell.